(1)
NaAsCl2 | GGA-PBE | relaxed

Cell lengths 8.6603, 8.6603, 8.6603 Å; angles 24.11, 24.11, 24.11 degrees
Atoms (fractional coordinates):
As1 0.0000 0.0000 0.0000
Cl1 0.9021 0.9021 0.9021
Na1 0.5000 0.5000 0.5000
Cl2 0.0979 0.0979 0.0979

Results
Distance to the lowest polymorph of the same formula in kJ per mole of atoms: 0.00
Volume in Å³/atom: 23.8
Crystal system: trigonal
E_form (uncorrected) in eV/f.u.: -3.18
Fermi-level density of states in states/eV per atom: 0.192

=====

(2)
Na12As3Cl5 | GGA-PBE | relaxed

Cell lengths 14.4043, 14.4043, 14.4043 Å; angles 109.47, 109.47, 109.47 degrees
Last column: magnetic moment on the atom in μB.
Atoms (fractional coordinates):
Cl1 0.0000 0.5000 0.5000  0.00
Na1 0.3274 0.5520 0.4158  0.00
Na2 0.4480 0.6726 0.0842  0.00
Na3 0.1726 0.0884 0.7246  0.00
Cl2 0.3750 0.2500 0.1250  -0.01
Na4 0.5842 0.9480 0.6726  0.00
Na5 0.1362 0.7246 0.5520  0.00
As1 0.3750 0.7500 0.6250  -0.27
Cl3 0.2500 0.3750 0.6250  -0.01
Cl4 0.5000 0.5000 0.0000  0.00
Na6 0.9116 0.0842 0.6362  0.00
Cl5 0.2500 0.8750 0.1250  -0.01
Cl6 0.1250 0.7500 0.3750  -0.01
Na7 0.0520 0.4158 0.8274  0.00
Cl7 0.0000 0.0000 0.5000  0.00
Na8 0.5884 0.8638 0.4158  0.00
Cl8 0.8750 0.2500 0.6250  -0.01
Na9 0.9480 0.5842 0.1726  0.00
Na10 0.3638 0.9480 0.7754  0.00
Na11 0.4158 0.0520 0.3274  0.00
Na12 0.0884 0.1726 0.2246  0.00
Cl9 0.3750 0.1250 0.7500  -0.01
Na13 0.2754 0.8638 0.9480  0.00
Na14 0.0884 0.9158 0.3638  0.00
As2 0.7500 0.8750 0.6250  -0.27
Na15 0.2246 0.5520 0.6362  0.00
Na16 0.1362 0.4116 0.0842  0.00
Na17 0.5842 0.6362 0.4116  0.00
Cl10 0.8750 0.6250 0.7500  -0.01
Na18 0.6726 0.2246 0.5884  0.00
Na19 0.5884 0.7246 0.6726  0.00
Na20 0.7754 0.3274 0.9116  0.00
Na21 0.9116 0.8274 0.7754  0.00
Na22 0.8274 0.9158 0.0520  0.00
Na23 0.9158 0.8274 0.5520  0.00
Na24 0.6726 0.4480 0.5842  0.00
As3 0.8750 0.1250 0.2500  -0.27
As4 0.3750 0.6250 0.2500  -0.27
Cl11 0.5000 0.0000 0.5000  0.00
Na25 0.5520 0.2246 0.1362  0.00
Na26 0.7246 0.1362 0.0520  0.00
Cl12 0.0000 0.0000 0.0000  0.00
Na27 0.5520 0.3274 0.9158  0.00
As5 0.1250 0.8750 0.7500  -0.27
Na28 0.3274 0.7754 0.4116  0.00
Na29 0.8638 0.2754 0.4480  0.00
Na30 0.9480 0.3638 0.2754  0.00
Cl13 0.5000 0.5000 0.5000  0.00
As6 0.7500 0.3750 0.1250  -0.27
Na31 0.3638 0.4158 0.0884  0.00
Na32 0.9158 0.0884 0.8638  0.00
Na33 0.8638 0.5884 0.9158  0.00
Na34 0.7246 0.5884 0.1726  0.00
Na35 0.4116 0.1362 0.5842  0.00
Na36 0.4480 0.7754 0.8638  0.00
As7 0.6250 0.3750 0.7500  -0.27
Na37 0.1726 0.0842 0.9480  0.00
Na38 0.6362 0.5842 0.9116  0.00
Cl14 0.6250 0.7500 0.8750  -0.01
Na39 0.7754 0.4480 0.3638  0.00
As8 0.8750 0.7500 0.1250  -0.27
Na40 0.4158 0.3638 0.5884  0.00
Na41 0.0520 0.6362 0.7246  0.00
As9 0.2500 0.1250 0.3750  -0.27
Na42 0.2754 0.4116 0.8274  0.00
As10 0.2500 0.6250 0.8750  -0.27
Cl15 0.5000 0.0000 0.0000  0.00
As11 0.6250 0.2500 0.3750  -0.27
Cl16 0.0000 0.5000 0.0000  0.00
Na43 0.8274 0.9116 0.2754  0.00
Cl17 0.6250 0.8750 0.2500  -0.01
Cl18 0.1250 0.3750 0.2500  -0.01
Cl19 0.7500 0.6250 0.3750  -0.01
Na44 0.6362 0.0520 0.2246  0.00
Cl20 0.7500 0.1250 0.8750  -0.01
Na45 0.0842 0.1726 0.4480  0.00
Na46 0.2246 0.6726 0.0884  0.00
Na47 0.4116 0.2754 0.3274  0.00
As12 0.1250 0.2500 0.8750  -0.27
Na48 0.0842 0.9116 0.1362  0.00

Results
Volume in Å³/atom: 28.8
Crystal system: cubic
E_form (uncorrected) in eV/f.u.: -19.50
Fermi-level density of states in states/eV per atom: 0.353

=====

(3)
NaAs2Cl | GGA-PBE | relaxed

Cell lengths 4.9609, 4.9609, 4.9609 Å; angles 60.00, 60.00, 60.00 degrees
Atoms (fractional coordinates):
Na1 0.0000 0.0000 0.0000
As1 0.2500 0.2500 0.2500
As2 0.7500 0.7500 0.7500
Cl1 0.5000 0.5000 0.5000

Results
Distance to the lowest polymorph of the same formula in kJ per mole of atoms: 93.64
Volume in Å³/atom: 21.6
Crystal system: cubic
E_form (uncorrected) in eV/f.u.: 1.59
Fermi-level density of states in states/eV per atom: 0.730

=====

(4)
Na2AsCl4 | GGA-PBE | relaxed

Cell lengths 7.0186, 7.0186, 6.2422 Å; angles 124.21, 124.21, 90.00 degrees
Last column: magnetic moment on the atom in μB.
Atoms (fractional coordinates):
Na1 0.7500 0.2500 0.5000  0.00
Cl1 0.7112 0.7112 0.9230  0.03
Cl2 0.2117 0.2117 0.9230  0.03
Cl3 0.7883 0.2888 0.0770  0.03
As1 0.5000 0.5000 0.0000  0.40
Cl4 0.2888 0.7883 0.0770  0.03
Na2 0.2500 0.7500 0.5000  0.00

Results
Volume in Å³/atom: 26.6
Crystal system: tetragonal
E_form (uncorrected) in eV/f.u.: -7.75

=====

(5)
Na2AsCl5 | GGA-PBE | relaxed

Cell lengths 7.2351, 7.2632, 7.2669 Å; angles 88.08, 74.79, 43.24 degrees
Atoms (fractional coordinates):
Cl1 0.1359 0.6777 0.7256
Na1 0.8542 0.5861 0.9442
Cl2 0.6499 0.3568 0.9922
As1 0.0380 0.9593 0.0568
Cl3 0.7814 0.8868 0.2482
Cl4 0.9650 0.1780 0.3349
Cl5 0.3611 0.0124 0.8478
Na2 0.6605 0.1199 0.6274

Results
Distance to the lowest polymorph of the same formula in kJ per mole of atoms: 0.00
Volume in Å³/atom: 30.6
Crystal system: triclinic
E_form (uncorrected) in eV/f.u.: -9.70
Fermi-level density of states in states/eV per atom: 0.000

=====

(6)
Na2AsCl6 | GGA-PBE | relaxed

Cell lengths 6.3657, 6.3657, 12.0250 Å; angles 90.00, 90.00, 90.00 degrees
Last column: magnetic moment on the atom in μB.
Atoms (fractional coordinates):
As1 0.5000 0.5000 0.5000  0.08
Cl1 0.2685 0.2685 0.0000  0.04
Cl2 0.1841 0.8159 0.1453  0.05
Cl3 0.2315 0.7685 0.5000  0.04
Cl4 0.3159 0.3159 0.3547  0.05
Na1 0.0000 0.0000 0.3342  0.00
Na2 0.5000 0.5000 0.1658  0.00
Na3 0.5000 0.5000 0.8342  0.00
Cl5 0.7315 0.7315 0.0000  0.04
As2 0.0000 0.0000 0.0000  0.08
Cl6 0.8159 0.1841 0.8547  0.05
Cl7 0.7685 0.2315 0.5000  0.04
Cl8 0.6841 0.6841 0.6453  0.05
Cl9 0.6841 0.6841 0.3547  0.05
Cl10 0.8159 0.1841 0.1453  0.05
Cl11 0.3159 0.3159 0.6453  0.05
Cl12 0.1841 0.8159 0.8547  0.05
Na4 0.0000 0.0000 0.6658  0.00

Results
Distance to the lowest polymorph of the same formula in kJ per mole of atoms: 3.21
Volume in Å³/atom: 27.1
Crystal system: tetragonal
E_form (uncorrected) in eV/f.u.: -9.30
Fermi-level density of states in states/eV per atom: 0.615

=====

(7)
Na2As2Cl7 | GGA-PBE | relaxed

Cell lengths 7.2466, 7.1842, 7.1842 Å; angles 104.44, 93.47, 93.47 degrees
Last column: magnetic moment on the atom in μB.
Atoms (fractional coordinates):
Cl1 0.8084 0.9393 0.6209  0.01
Cl2 0.1916 0.3791 0.0607  0.01
As1 0.6117 0.7364 0.7364  0.24
As2 0.3883 0.2636 0.2636  0.24
Cl3 0.7477 0.4062 0.4062  0.04
Cl4 0.5000 0.0000 0.0000  -0.02
Cl5 0.8084 0.6209 0.9393  0.01
Cl6 0.2523 0.5938 0.5938  0.04
Na1 0.0000 0.3290 0.6710  0.00
Cl7 0.1916 0.0607 0.3791  0.01
Na2 0.0000 0.6710 0.3290  0.00

Results
Volume in Å³/atom: 32.8
Crystal system: monoclinic
E_form (uncorrected) in eV/f.u.: -10.04
Fermi-level density of states in states/eV per atom: 0.049

=====

(8)
NaAsCl4 | GGA-PBE | relaxed

Cell lengths 4.2452, 6.6334, 7.0222 Å; angles 95.91, 89.99, 108.66 degrees
Atoms (fractional coordinates):
Cl1 0.9348 0.7956 0.6751
Na1 0.5311 0.9993 0.4997
Cl2 0.5313 0.2373 0.8956
Cl3 0.1388 0.2044 0.3249
Cl4 0.2937 0.7629 0.1044
As1 0.0701 0.0003 0.0001

Results
Distance to the lowest polymorph of the same formula in kJ per mole of atoms: 0.59
Volume in Å³/atom: 31.0
Crystal system: triclinic
E_form (uncorrected) in eV/f.u.: -6.22
Fermi-level density of states in states/eV per atom: 0.000

=====

(9)
NaAsCl2 | GGA-PBE | relaxed

Cell lengths 9.6323, 9.6323, 9.6323 Å; angles 20.57, 20.57, 20.57 degrees
Atoms (fractional coordinates):
Na1 0.0000 0.0000 0.0000
Cl1 0.0877 0.0877 0.0877
Cl2 0.9123 0.9123 0.9123
As1 0.5000 0.5000 0.5000

Results
Distance to the lowest polymorph of the same formula in kJ per mole of atoms: 55.15
Volume in Å³/atom: 24.1
Crystal system: trigonal
E_form (uncorrected) in eV/f.u.: -0.90
Fermi-level density of states in states/eV per atom: 0.313

=====

(10)
NaAsCl2 | GGA-PBE | relaxed

Cell lengths 5.2353, 5.2353, 8.9417 Å; angles 72.98, 72.98, 90.00 degrees
Atoms (fractional coordinates):
Cl1 0.0867 0.6250 0.2500
As1 0.7500 0.2500 0.5000
Na1 0.5000 0.5000 0.0000
As2 0.0000 0.0000 0.0000
Cl2 0.3750 0.3367 0.7500
Cl3 0.6633 0.1250 0.2500
Na2 0.2500 0.7500 0.5000
Cl4 0.8750 0.9133 0.7500

Results
Distance to the lowest polymorph of the same formula in kJ per mole of atoms: 27.86
Volume in Å³/atom: 27.9
Crystal system: tetragonal
E_form (uncorrected) in eV/f.u.: -2.03
Fermi-level density of states in states/eV per atom: 0.000

=====

(11)
NaNb2AsCl | GGA-PBE | relaxed

Cell lengths 5.0893, 4.3531, 5.0893 Å; angles 90.00, 90.00, 90.00 degrees
Last column: magnetic moment on the atom in μB.
Atoms (fractional coordinates):
Cl1 0.0000 0.5000 0.0000  -0.02
Na1 0.0000 0.0000 0.0000  0.04
As1 0.5000 0.5000 0.5000  -0.10
Nb1 0.0000 0.0000 0.5000  1.25
Nb2 0.5000 0.0000 0.0000  1.32

Results
Volume in Å³/atom: 22.5
Crystal system: tetragonal
E_form (uncorrected) in eV/f.u.: 8.02
Fermi-level density of states in states/eV per atom: 1.428

=====

(12)
NaAs2OsCl | GGA-PBE | relaxed

Cell lengths 4.6119, 6.3495, 4.6119 Å; angles 90.00, 90.00, 90.00 degrees
Atoms (fractional coordinates):
Os1 0.0000 0.0000 0.0000
Cl1 0.5000 0.5000 0.5000
As1 0.5000 0.0000 0.0000
As2 0.0000 0.0000 0.5000
Na1 0.0000 0.5000 0.0000

Results
Volume in Å³/atom: 27.0
Crystal system: tetragonal
E_form (uncorrected) in eV/f.u.: -0.09
Fermi-level density of states in states/eV per atom: 0.439

=====

(13)
RbNa2AsCl8 | GGA-PBE | relaxed

Cell lengths 6.3486, 5.9713, 9.2285 Å; angles 89.79, 89.93, 95.11 degrees
Last column: magnetic moment on the atom in μB.
Atoms (fractional coordinates):
Rb1 0.0000 0.0000 0.5000  0.00
Cl1 0.3199 0.2448 0.0012  0.00
Cl2 0.5025 0.7474 0.5002  0.16
Cl3 0.8576 0.2175 0.1849  0.00
Cl4 0.8611 0.2207 0.8143  0.00
Cl5 0.4975 0.2526 0.4998  0.16
Cl6 0.1389 0.7793 0.1857  0.00
Na1 0.4998 0.4972 0.7638  0.00
As1 0.0000 0.0000 0.0000  0.01
Cl7 0.1424 0.7825 0.8151  0.00
Na2 0.5002 0.5028 0.2362  0.00
Cl8 0.6801 0.7552 0.9988  0.00

Results
Volume in Å³/atom: 29.0
Crystal system: triclinic
E_form (uncorrected) in eV/f.u.: -12.79
Fermi-level density of states in states/eV per atom: 0.458

=====

(14)
Rb2NaAsCl6 | GGA-PBE | relaxed

Cell lengths 7.4654, 7.4654, 7.4654 Å; angles 60.00, 60.00, 60.00 degrees
Atoms (fractional coordinates):
Cl1 0.7621 0.2379 0.7621
Cl2 0.2379 0.2379 0.7621
Cl3 0.7621 0.2379 0.2379
Rb1 0.7500 0.7500 0.7500
Rb2 0.2500 0.2500 0.2500
Cl4 0.2379 0.7621 0.2379
As1 0.0000 0.0000 0.0000
Cl5 0.2379 0.7621 0.7621
Cl6 0.7621 0.7621 0.2379
Na1 0.5000 0.5000 0.5000

Results
Volume in Å³/atom: 29.4
Crystal system: cubic
E_form (uncorrected) in eV/f.u.: -14.31
Fermi-level density of states in states/eV per atom: 0.000

=====

(15)
RbNa2AsCl6 | GGA-PBE | relaxed

Cell lengths 7.1759, 7.1750, 7.7186 Å; angles 62.30, 62.30, 60.00 degrees
Atoms (fractional coordinates):
As1 0.3303 0.3303 0.0092
Cl1 0.7036 0.1721 0.7739
Na1 0.5275 0.5276 0.4175
Na2 0.0001 0.0002 0.9995
Cl2 0.9517 0.5667 0.2262
Cl3 0.5667 0.2554 0.2262
Cl4 0.2554 0.9517 0.2261
Cl5 0.1722 0.3504 0.7739
Rb1 0.8038 0.8037 0.5888
Cl6 0.3505 0.7036 0.7739

Results
Volume in Å³/atom: 29.0
Crystal system: trigonal
E_form (uncorrected) in eV/f.u.: -13.65
Fermi-level density of states in states/eV per atom: 0.000

=====

(16)
RbNaAsCl6 | GGA-PBE | relaxed

Cell lengths 6.9662, 6.9661, 7.0841 Å; angles 90.02, 89.98, 59.96 degrees
Last column: magnetic moment on the atom in μB.
Atoms (fractional coordinates):
Cl1 0.3479 0.6074 0.3019  0.08
Cl2 0.6083 0.0442 0.3025  0.08
Cl3 0.3472 0.0451 0.6978  0.08
Na1 0.6665 0.6665 0.5000  0.00
Rb1 0.9999 0.0000 0.0000  0.00
Cl4 0.0450 0.3473 0.3021  0.08
As1 0.3333 0.3334 0.5000  0.13
Cl5 0.6073 0.3479 0.6980  0.08
Cl6 0.0442 0.6083 0.6974  0.08

Results
Volume in Å³/atom: 33.1
Crystal system: trigonal
E_form (uncorrected) in eV/f.u.: -10.05
Fermi-level density of states in states/eV per atom: 0.477

=====

(17)
NaAsSCl2 | GGA-PBE | relaxed

Cell lengths 5.1975, 5.1975, 4.7226 Å; angles 90.00, 90.00, 90.00 degrees
Atoms (fractional coordinates):
Na1 0.5000 0.5000 0.5000
S1 0.0000 0.0000 0.5000
As1 0.0000 0.0000 0.0000
Cl1 0.0000 0.5000 0.0000
Cl2 0.5000 0.0000 0.0000

Results
Distance to the lowest polymorph of the same formula in kJ per mole of atoms: 0.00
Volume in Å³/atom: 25.5
Crystal system: tetragonal
E_form (uncorrected) in eV/f.u.: -3.05
Fermi-level density of states in states/eV per atom: 0.269

=====

(18)
NaAsSCl2 | GGA-PBE | relaxed

Cell lengths 4.7978, 5.2721, 4.7978 Å; angles 90.00, 90.00, 90.00 degrees
Atoms (fractional coordinates):
Na1 0.0000 0.0000 0.0000
Cl1 0.5000 0.0000 0.0000
Cl2 0.0000 0.0000 0.5000
As1 0.5000 0.5000 0.5000
S1 0.0000 0.5000 0.0000

Results
Distance to the lowest polymorph of the same formula in kJ per mole of atoms: 89.55
Volume in Å³/atom: 24.3
Crystal system: tetragonal
E_form (uncorrected) in eV/f.u.: 1.59
Fermi-level density of states in states/eV per atom: 0.891

=====

(19)
Na5AsS4Cl2 | GGA-PBE | relaxed

Cell lengths 6.7874, 6.5080, 8.1484 Å; angles 90.00, 90.00, 121.43 degrees
Atoms (fractional coordinates):
S1 0.6128 0.0000 0.2185
Cl1 0.3534 0.3903 0.5000
Na1 0.0941 0.3898 0.2454
Cl2 0.9630 0.6097 0.5000
S2 0.6128 0.0000 0.7815
S3 0.3889 0.3184 0.0000
As1 0.4236 0.0000 0.0000
S4 0.0705 0.6816 0.0000
Na2 0.7042 0.6102 0.7546
Na3 0.7042 0.6102 0.2454
Na4 0.0941 0.3898 0.7546
Na5 0.3840 0.0000 0.5000

Results
Volume in Å³/atom: 25.6
Crystal system: orthorhombic
E_form (uncorrected) in eV/f.u.: -13.04
Fermi-level density of states in states/eV per atom: 0.000

=====

(20)
NaAs2SeCl | GGA-PBE | relaxed

Cell lengths 4.9425, 4.9425, 5.4290 Å; angles 90.00, 90.00, 90.00 degrees
Last column: magnetic moment on the atom in μB.
Atoms (fractional coordinates):
Se1 0.0000 0.0000 0.5000  0.04
Cl1 0.0000 0.0000 0.0000  0.01
Na1 0.5000 0.5000 0.5000  0.00
As1 0.5000 0.0000 0.0000  0.19
As2 0.0000 0.5000 0.0000  0.19

Results
Distance to the lowest polymorph of the same formula in kJ per mole of atoms: 0.00
Volume in Å³/atom: 26.5
Crystal system: tetragonal
E_form (uncorrected) in eV/f.u.: 2.92
Fermi-level density of states in states/eV per atom: 0.943